An optimized crystal structure of LaRh2. Source: Alexandria via LeMat-Bulk, functional GGA-PBE.

CIF file:
```
data_LaRh2
_chemical_formula_sum 'La1 Rh2'
_symmetry_space_group_name_H-M 'P -3 m 1'
_symmetry_Int_Tables_number 164
_symmetry_space_group_name_Hall '-P 3 2"'
_cell_length_a 4.6106
_cell_length_b 4.6106
_cell_length_c 3.0846
_cell_angle_alpha 90.00
_cell_angle_beta 90.00
_cell_angle_gamma 120.00
loop_
_atom_site_label
_atom_site_type_symbol
_atom_site_fract_x
_atom_site_fract_y
_atom_site_fract_z
La1 La 0.0000 0.0000 0.0000
Rh1 Rh 0.3333 0.6667 0.7316
```

=====

An optimized crystal structure of LaRh2. Source: Alexandria via LeMat-Bulk, functional GGA-PBE.

CIF file:
```
data_LaRh2
_chemical_formula_sum 'La2 Rh4'
_symmetry_space_group_name_H-M 'P n n m'
_symmetry_Int_Tables_number 58
_cell_length_a 3.077
_cell_length_b 8.017
_cell_length_c 4.587
_cell_angle_alpha 90.00
_cell_angle_beta 90.00
_cell_angle_gamma 90.00
loop_
_symmetry_equiv_pos_as_xyz
'x,y,z'
'-x,-y,-z'
'-x,-y,z'
'x,y,-z'
'x+1/2,-y+1/2,-z+1/2'
'-x+1/2,y+1/2,z+1/2'
'-x+1/2,y+1/2,-z+1/2'
'x+1/2,-y+1/2,z+1/2'
loop_
_atom_site_label
_atom_site_type_symbol
_atom_site_fract_x
_atom_site_fract_y
_atom_site_fract_z
La1 La 0.000 0.000 0.000
Rh1 Rh 0.220 0.334 0.000
```

=====

| no. | total DFT energy (no corrections) (eV/atom) | energy of formation (kcal/mol of atoms) | DOS at the Fermi energy (states/eV/cell) |
| --- | --- | --- | --- |
| 1 | -6.765 | -5.10 | 2.4 |
| 2 | -6.790 | -5.68 | 4.0 |